# 1
{"formula": "RbMg2BiBr8", "functional": "GGA-PBE", "state": "optimized geometry", "total_energy_ev_per_atom": -3.00, "e_form_raw_ev_per_atom": -1.2164, "sg": "P-1", "magmom_total_mub_per_fu": 0.0, "lattice_angstrom": [[6.896, 0.782, 0.786], [0.846, 6.898, 0.799], [1.028, 1.052, 9.574]], "species": ["Rb", "Mg", "Mg", "Bi", "Br", "Br", "Br", "Br", "Br", "Br", "Br", "Br"], "frac_coords": [[0.000, 0.000, 0.500], [0.450, 0.450, 0.714], [0.550, 0.550, 0.286], [0.000, 0.000, 0.000], [0.189, 0.722, 0.229], [0.730, 0.733, 0.038], [0.725, 0.192, 0.226], [0.811, 0.278, 0.771], [0.270, 0.267, 0.962], [0.275, 0.808, 0.774], [0.662, 0.670, 0.478], [0.338, 0.330, 0.522]]}


# 2
{"formula": "Na2AsBr", "functional": "GGA-PBE", "state": "optimized geometry", "total_energy_ev_per_atom": -2.64, "e_form_raw_ev_per_atom": -0.4018, "e_above_lowest_polymorph_mev_per_atom": 48, "sg": "Fm-3m", "magmom_total_mub_per_fu": 2.0, "lattice_angstrom": [[-1.481, -4.548, -2.293], [-1.922, -3.959, 2.960], [-5.141, -1.274, -0.289]], "species": ["Na", "Na", "As", "Br"], "frac_coords": [[0.250, 0.250, 0.250], [0.750, 0.750, 0.750], [0.000, 0.000, 0.000], [0.500, 0.500, 0.500]]}


# 3
{"formula": "Y6Ho8Cd", "functional": "GGA-PBE", "state": "optimized geometry", "ef_ev_per_atom": 0.2210, "total_energy_ev_per_atom": -4.87, "sg": "P-3", "magmom_total_mub_per_fu": 0.0, "lattice_angstrom": [[-2.047, -5.649, -2.913], [1.366, 3.751, -8.235], [6.768, -4.578, 4.122]], "species": ["Y", "Y", "Y", "Y", "Y", "Y", "Ho", "Ho", "Ho", "Ho", "Ho", "Ho", "Ho", "Ho", "Cd"], "frac_coords": [[0.609, 0.680, 0.085], [0.609, 0.915, 0.595], [0.609, 0.405, 0.320], [0.391, 0.320, 0.915], [0.391, 0.085, 0.405], [0.391, 0.595, 0.680], [0.884, 0.994, 0.310], [0.884, 0.690, 0.684], [0.884, 0.316, 0.006], [0.116, 0.006, 0.690], [0.116, 0.310, 0.316], [0.116, 0.684, 0.994], [0.836, 0.333, 0.667], [0.164, 0.667, 0.333], [0.500, 0.000, 0.000]]}


# 4
{"formula": "YNiW2Au", "functional": "GGA-PBE", "state": "optimized geometry", "ef_ev_per_atom": 2.0518, "total_energy_ev_per_atom": -6.23, "sg": "P4/mmm", "magmom_total_mub_per_fu": 0.3, "lattice_angstrom": [[4.861, 0.000, 0.000], [0.000, 5.330, 0.000], [0.000, 0.000, 4.861]], "species": ["Y", "Ni", "Au", "W", "W"], "frac_coords": [[0.000, 0.500, 0.000], [0.500, 0.500, 0.500], [0.000, 0.000, 0.000], [0.000, 0.000, 0.500], [0.500, 0.000, 0.000]]}


# 5
{"formula": "TbGe2Pt", "functional": "GGA-PBE", "state": "optimized geometry", "ef_ev_per_atom": -0.8851, "total_energy_ev_per_atom": -5.86, "sg": "Immm", "magmom_total_mub_per_fu": 0.0, "lattice_angstrom": [[-2.491, -5.535, 7.415], [-5.588, -7.607, -1.654], [8.149, 4.990, -0.725]], "species": ["Tb", "Tb", "Tb", "Tb", "Ge", "Ge", "Ge", "Ge", "Ge", "Ge", "Ge", "Ge", "Pt", "Pt", "Pt", "Pt"], "frac_coords": [[0.702, 0.702, 0.000], [0.260, 0.500, 0.760], [0.298, 0.298, 0.000], [0.740, 0.500, 0.240], [0.049, 0.699, 0.350], [0.951, 0.301, 0.650], [0.651, 0.301, 0.350], [0.349, 0.699, 0.650], [0.574, 0.074, 0.500], [0.926, 0.926, 0.000], [0.074, 0.074, 0.000], [0.426, 0.926, 0.500], [0.602, 0.852, 0.750], [0.398, 0.148, 0.250], [0.899, 0.148, 0.750], [0.101, 0.852, 0.250]]}


# 6
{"formula": "Si2Pb2Cl", "functional": "GGA-PBE", "state": "optimized geometry", "total_energy_ev_per_atom": -4.11, "e_form_raw_ev_per_atom": -0.0846, "sg": "I4/mmm", "magmom_total_mub_per_fu": 0.0, "lattice_angstrom": [[3.769, 0.000, 0.000], [0.000, 3.769, 0.000], [1.884, 1.884, 8.772]], "species": ["Pb", "Pb", "Si", "Si", "Cl"], "frac_coords": [[0.383, 0.383, 0.235], [0.617, 0.617, 0.765], [0.750, 0.250, 0.500], [0.250, 0.750, 0.500], [0.000, 0.000, 0.000]]}